(1)
Density functional theory data (PBE-GGA) for NbTcGe after structural relaxation.

Cell lengths 4.2860, 4.2860, 4.2860 Å; angles 60.00, 60.00, 60.00 degrees
Sites, in units of the cell vectors:
Tc1 0.0000 0.0000 0.0000
Nb1 0.7500 0.7500 0.7500
Ge1 0.2500 0.2500 0.2500

Values from the calculation:
Calculated total energy (eV per cell): -24.79
Space-group type: F-43m, No. 216


(2)
Density functional theory data (PBE-GGA) for NbTc2Ge after structural relaxation.

Cell lengths 4.3567, 4.3567, 3.2147 Å; angles 90.00, 90.00, 90.00 degrees
Sites, in units of the cell vectors:
Tc1 0.5000 0.0000 0.5000
Tc2 0.0000 0.5000 0.5000
Nb1 0.0000 0.0000 0.0000
Ge1 0.5000 0.5000 0.0000

Values from the calculation:
Calculated total energy (eV per cell): -36.33
Space-group type: P4/mmm, No. 123


(3)
Density functional theory data (PBE-GGA) for NbTc2Ge after structural relaxation.

Cell lengths 4.4822, 4.4822, 7.6130 Å; angles 90.00, 90.00, 120.00 degrees
Sites, in units of the cell vectors:
Ge1 0.6667 0.3333 0.7500
Ge2 0.3333 0.6667 0.2500
Tc1 0.3333 0.6667 0.9062
Tc2 0.6667 0.3333 0.4062
Tc3 0.6667 0.3333 0.0938
Tc4 0.3333 0.6667 0.5938
Nb1 0.0000 0.0000 0.5000
Nb2 0.0000 0.0000 0.0000

Values from the calculation:
Calculated total energy (eV per cell): -70.14
Space-group type: P6_3/mmc, No. 194